KTcRh2 | PBE | optimized geometry

Cell lengths 2.748, 4.890, 5.130 Å; angles 90.00, 90.00, 90.00 degrees
Space group Pmmm (No. 47)
Symmetry-distinct sites (fractional):
1 K 0.000 0.000 0.000 x1
2 Tc 0.500 0.000 0.500 x1
3 Rh 0.000 0.500 0.500 x1
4 Rh 0.500 0.500 0.000 x1

Calculated values
Density of states at the Fermi level in states/eV per atom: 1.480
Calculated density in g cm⁻³: 8.3
Energy above the lowest structure with this stoichiometry in eV per atom: 0.8245